Record 1
Here is an optimized crystal structure of MgZnGa4 from the Alexandria database. Energies are from PBE.

Summary:
polymorph energy (0 for the lowest one)	63	meV per atom
total DFT energy (no corrections)	-58.8	eV/cell
energy of formation	0.0448	eV per atom

Geometry as CIF:
```
data_MgZnGa4
_cell_length_a 7.734
_cell_length_b 7.734
_cell_length_c 7.734
_cell_angle_alpha 90.00
_cell_angle_beta 90.00
_cell_angle_gamma 90.00
_symmetry_space_group_name_H-M 'F -4 3 m'
_symmetry_Int_Tables_number 216
_symmetry_space_group_name_Hall 'F -4 2 3'
loop_
_atom_site_label
_atom_site_fract_x
_atom_site_fract_y
_atom_site_fract_z
_atom_site_occupancy
Mg1 0.000 0.000 0.000 1
Zn1 0.250 0.250 0.750 1
Ga1 0.125 0.125 0.375 1
```



Record 2
Here is an optimized crystal structure of Pr2TmTl from the Alexandria database. Energies are from PBE.

Summary:
polymorph energy (0 for the lowest one)	55	meV per atom
total DFT energy (no corrections)	-16.9	eV/cell
energy of formation	-0.1347	eV per atom

Geometry as CIF:
```
data_Pr2TmTl
_cell_length_a 3.678
_cell_length_b 3.678
_cell_length_c 9.536
_cell_angle_alpha 90.00
_cell_angle_beta 90.00
_cell_angle_gamma 90.00
_symmetry_space_group_name_H-M 'P 4/m m m'
_symmetry_Int_Tables_number 123
_symmetry_space_group_name_Hall '-P 4 2'
loop_
_atom_site_label
_atom_site_fract_x
_atom_site_fract_y
_atom_site_fract_z
_atom_site_occupancy
Pr1 0.000 0.000 0.233 1
Tm1 0.500 0.500 0.500 1
Tl1 0.500 0.500 0.000 1
```